Below is a geometry-optimized PmPr2DySb4 structure, with properties calculated at the PBE level.

It has space group P2/m (No. 10), with a = 7.790 Å, b = 4.502 Å, c = 7.792 Å, α = 90.00°, β = 109.48° and γ = 90.00°. The inequivalent atoms are Pm at (0.000, 0.000, 0.000), Pr at (0.500, 0.000, 0.500), Pr at (0.500, 0.500, 0.000), Dy at (0.000, 0.500, 0.500), Sb at (0.241, 0.000, 0.744) and Sb at (0.244, 0.500, 0.251).

Its volume is 257.61 Å³/cell. The energy comes out at -44.776 eV per cell.